Here is a relaxed LiAg5Au8 crystal from Alexandria. Energies are from PBE.

The value obtained for the mass density is 13.53 Mg/m³. For the formation energy, the calculation gives 0.006 eV/atom.

The structure belongs to space group I-4 (No. 82); the cell edges are 8.0483, 8.0483 and 8.0396 Å and the angles 90.00°, 90.00° and 90.00°. Symmetry generates all atoms from Li at (0.0000, 0.0000, 0.0000), Ag at (0.0000, 0.5000, 0.7500), Ag at (0.1129, 0.8001, 0.4152), Au at (0.0647, 0.6676, 0.0826) and Au at (0.1051, 0.8264, 0.7634).